1.
## SrTl (PBE)

Data for a geometry-optimized SrTl structure.

```
data_SrTl
_cell_length_a 5.9787
_cell_length_b 5.9787
_cell_length_c 13.7366
_cell_angle_alpha 90.00
_cell_angle_beta 90.00
_cell_angle_gamma 120.00
_space_group_name_H-M_alt 'R -3 m'
_space_group_IT_number 166
_space_group_name_Hall '-R 3 2"'
loop_
_atom_site_label
_atom_site_type_symbol
_atom_site_fract_x
_atom_site_fract_y
_atom_site_fract_z
_atom_site_occupancy
Sr1 Sr 0.0000 0.0000 0.1297 1
Tl1 Tl 0.0000 0.0000 0.3771 1
```

Calculated values
energy relative to the elements = -151 meV per atom

---

2.
## Np2AlPt3 (PBE)

Data for a geometry-optimized Np2AlPt3 structure.

```
data_Np2AlPt3
_cell_length_a 5.6024
_cell_length_b 5.6024
_cell_length_c 8.1303
_cell_angle_alpha 90.00
_cell_angle_beta 90.00
_cell_angle_gamma 120.00
_space_group_name_H-M_alt 'P 63/m m c'
_space_group_IT_number 194
_space_group_name_Hall '-P 6c 2c'
loop_
_atom_site_label
_atom_site_type_symbol
_atom_site_fract_x
_atom_site_fract_y
_atom_site_fract_z
_atom_site_occupancy
Np1 Np 0.3333 0.6667 0.0782 1
Al1 Al 0.0000 0.0000 0.0000 1
Pt1 Pt 0.1697 0.3394 0.7500 1
```

Calculated values
energy relative to the elements = -736 meV per atom

---

3.
## CoPt2Pb (PBE)

Data for a geometry-optimized CoPt2Pb structure.

```
data_CoPt2Pb
_cell_length_a 3.0004
_cell_length_b 3.0004
_cell_length_c 26.7140
_cell_angle_alpha 90.00
_cell_angle_beta 90.00
_cell_angle_gamma 120.00
_space_group_name_H-M_alt 'R 3 m'
_space_group_IT_number 160
_space_group_name_Hall 'R 3 -2"'
loop_
_atom_site_label
_atom_site_type_symbol
_atom_site_fract_x
_atom_site_fract_y
_atom_site_fract_z
_atom_site_occupancy
Co1 Co 0.0000 0.0000 0.0000 1
Pt1 Pt 0.0000 0.0000 0.4887 1
Pt2 Pt 0.0000 0.0000 0.7377 1
Pb1 Pb 0.0000 0.0000 0.2461 1
```

Calculated values
energy relative to the elements = 358 meV per atom

---

4.
## Zr3ScBi (PBE)

Data for a geometry-optimized Zr3ScBi structure.

```
data_Zr3ScBi
_cell_length_a 5.087
_cell_length_b 5.087
_cell_length_c 5.087
_cell_angle_alpha 90.00
_cell_angle_beta 90.00
_cell_angle_gamma 90.00
_space_group_name_H-M_alt 'P m -3 m'
_space_group_IT_number 221
_space_group_name_Hall '-P 4 2 3'
loop_
_atom_site_label
_atom_site_type_symbol
_atom_site_fract_x
_atom_site_fract_y
_atom_site_fract_z
_atom_site_occupancy
Zr1 Zr 0.000 0.000 0.500 1
Sc1 Sc 0.000 0.000 0.000 1
Bi1 Bi 0.500 0.500 0.500 1
```

Calculated values
energy relative to the elements = 894 meV per atom

---

5.
## TeMoCl2 (PBE)

Data for a geometry-optimized TeMoCl2 structure.

```
data_TeMoCl2
_cell_length_a 3.015
_cell_length_b 5.915
_cell_length_c 12.304
_cell_angle_alpha 90.00
_cell_angle_beta 90.00
_cell_angle_gamma 90.00
_space_group_name_H-M_alt 'C m m m'
_space_group_IT_number 65
_space_group_name_Hall '-C 2 2'
loop_
_atom_site_label
_atom_site_type_symbol
_atom_site_fract_x
_atom_site_fract_y
_atom_site_fract_z
_atom_site_occupancy
Te1 Te 0.000 0.000 0.000 1
Mo1 Mo 0.000 0.000 0.500 1
Cl1 Cl 0.000 0.500 0.345 1
```

Calculated values
E_form (uncorrected) = -0.30 eV/f.u.

---

6.
## PuH2I (PBE)

Data for a geometry-optimized PuH2I structure.

```
data_PuH2I
_cell_length_a 3.874
_cell_length_b 6.052
_cell_length_c 5.600
_cell_angle_alpha 90.00
_cell_angle_beta 90.00
_cell_angle_gamma 90.00
_space_group_name_H-M_alt 'P m m n'
_space_group_IT_number 59
loop_
_space_group_symop_operation_xyz
'x,y,z'
'-x,-y,-z'
'-x+1/2,-y+1/2,z'
'x+1/2,y+1/2,-z'
'x+1/2,-y,-z'
'-x+1/2,y,z'
'-x,y+1/2,-z'
'x,-y+1/2,z'
loop_
_atom_site_label
_atom_site_type_symbol
_atom_site_fract_x
_atom_site_fract_y
_atom_site_fract_z
_atom_site_occupancy
Pu1 Pu 0.250 0.250 0.119 1
H1 H 0.250 0.557 0.902 1
I1 I 0.250 0.750 0.388 1
```

Calculated values
E = -6.229 eV per atom

---

7.
## PmFeSiC (PBE)

Data for a geometry-optimized PmFeSiC structure.

```
data_PmFeSiC
_cell_length_a 3.746
_cell_length_b 3.746
_cell_length_c 8.829
_cell_angle_alpha 90.00
_cell_angle_beta 90.00
_cell_angle_gamma 90.00
_space_group_name_H-M_alt 'P 4/n m m'
_space_group_IT_number 129
loop_
_space_group_symop_operation_xyz
'x,y,z'
'-x,-y,-z'
'-y+1/2,x,z'
'y+1/2,-x,-z'
'-x+1/2,-y+1/2,z'
'x+1/2,y+1/2,-z'
'y,-x+1/2,z'
'-y,x+1/2,-z'
'x+1/2,-y,-z'
'-x+1/2,y,z'
'-y,-x,-z'
'y,x,z'
'-x,y+1/2,-z'
'x,-y+1/2,z'
'y+1/2,x+1/2,-z'
'-y+1/2,-x+1/2,z'
loop_
_atom_site_label
_atom_site_type_symbol
_atom_site_fract_x
_atom_site_fract_y
_atom_site_fract_z
_atom_site_occupancy
Pm1 Pm 0.250 0.250 0.149 1
Fe1 Fe 0.250 0.750 0.500 1
Si1 Si 0.250 0.250 0.661 1
C1 C 0.250 0.250 0.867 1
```

Calculated values
E_form (uncorrected) = -1.31 eV/f.u.

---

8.
## Pa2TeCl8 (PBE)

Data for a geometry-optimized Pa2TeCl8 structure.

```
data_Pa2TeCl8
_cell_length_a 8.455
_cell_length_b 12.248
_cell_length_c 9.197
_cell_angle_alpha 90.00
_cell_angle_beta 95.02
_cell_angle_gamma 90.00
_space_group_name_H-M_alt 'C 1 2/m 1'
_space_group_IT_number 12
loop_
_space_group_symop_operation_xyz
'x,y,z'
'-x,-y,-z'
'-x,y,-z'
'x,-y,z'
'x+1/2,y+1/2,z'
'-x+1/2,-y+1/2,-z'
'-x+1/2,y+1/2,-z'
'x+1/2,-y+1/2,z'
loop_
_atom_site_label
_atom_site_type_symbol
_atom_site_fract_x
_atom_site_fract_y
_atom_site_fract_z
_atom_site_occupancy
Pa1 Pa 0.126 0.000 0.213 1
Te1 Te 0.000 0.000 0.500 1
Cl1 Cl 0.084 0.500 0.705 1
Cl2 Cl 0.118 0.204 0.205 1
Cl3 Cl 0.178 0.000 0.924 1
```

Calculated values
E_form (uncorrected) = -18.33 eV/f.u.

---

9.
## Ca2ZrScTe (PBE)

Data for a geometry-optimized Ca2ZrScTe structure.

```
data_Ca2ZrScTe
_cell_length_a 5.769
_cell_length_b 5.769
_cell_length_c 5.426
_cell_angle_alpha 90.00
_cell_angle_beta 90.00
_cell_angle_gamma 90.00
_space_group_name_H-M_alt 'P 4/m m m'
_space_group_IT_number 123
_space_group_name_Hall '-P 4 2'
loop_
_atom_site_label
_atom_site_type_symbol
_atom_site_fract_x
_atom_site_fract_y
_atom_site_fract_z
_atom_site_occupancy
Ca1 Ca 0.000 0.500 0.000 1
Zr1 Zr 0.000 0.000 0.500 1
Sc1 Sc 0.500 0.500 0.500 1
Te1 Te 0.500 0.500 0.000 1
```

Calculated values
E_form (uncorrected) = 1.34 eV/f.u.

---

10.
## Y2Mg2Cu3 (PBE)

Data for a geometry-optimized Y2Mg2Cu3 structure.

```
data_Y2Mg2Cu3
_cell_length_a 14.722
_cell_length_b 4.398
_cell_length_c 11.490
_cell_angle_alpha 90.00
_cell_angle_beta 128.92
_cell_angle_gamma 90.00
_space_group_name_H-M_alt 'C 1 2/m 1'
_space_group_IT_number 12
loop_
_space_group_symop_operation_xyz
'x,y,z'
'-x,-y,-z'
'-x,y,-z'
'x,-y,z'
'x+1/2,y+1/2,z'
'-x+1/2,-y+1/2,-z'
'-x+1/2,y+1/2,-z'
'x+1/2,-y+1/2,z'
loop_
_atom_site_label
_atom_site_type_symbol
_atom_site_fract_x
_atom_site_fract_y
_atom_site_fract_z
_atom_site_occupancy
Y1 Y 0.054 0.000 0.392 1
Y2 Y 0.194 0.500 0.764 1
Mg1 Mg 0.089 0.500 0.962 1
Mg2 Mg 0.169 0.500 0.285 1
Cu1 Cu 0.061 0.000 0.134 1
Cu2 Cu 0.178 0.000 0.914 1
Cu3 Cu 0.232 0.500 0.552 1
```

Calculated values
energy relative to the elements = -134 meV per atom

---

11.
## ScSi2Pd (PBE)

Data for a geometry-optimized ScSi2Pd structure.

```
data_ScSi2Pd
_cell_length_a 4.180
_cell_length_b 4.180
_cell_length_c 17.037
_cell_angle_alpha 90.00
_cell_angle_beta 90.00
_cell_angle_gamma 90.00
_space_group_name_H-M_alt 'I -4 2 d'
_space_group_IT_number 122
_space_group_name_Hall 'I -4 2bw'
loop_
_atom_site_label
_atom_site_type_symbol
_atom_site_fract_x
_atom_site_fract_y
_atom_site_fract_z
_atom_site_occupancy
Sc1 Sc 0.000 0.000 0.000 1
Si1 Si 0.159 0.250 0.625 1
Pd1 Pd 0.000 0.000 0.500 1
```

Calculated values
E_form (uncorrected) = -1.40 eV/f.u.

---

Which formula does entry 8 have?
Pa2TeCl8